# PmEuScTl

An optimized crystal structure of PmEuScTl (GGA-PBE, Alexandria). Values from VASP.

Structure (Quantum ESPRESSO input):
```
&SYSTEM
  ibrav = 0, nat = 4, ntyp = 4
/
ATOMIC_SPECIES
Sc 44.96 Sc.upf
Tl 204.38 Tl.upf
Eu 151.96 Eu.upf
Pm 145.00 Pm.upf
ATOMIC_POSITIONS crystal
Sc 0.000 0.000 0.000
Tl 0.750 0.750 0.750
Eu 0.500 0.500 0.500
Pm 0.250 0.250 0.250
CELL_PARAMETERS angstrom
5.463 0.000 0.000
2.731 4.731 0.000
2.731 1.577 4.460
```

Computed properties:
calculated total energy	-5.921	eV per atom
ΔE_f	0.22	kcal/mol of atoms
Fermi-level density of states	5.7	states/eV/cell